DFT (PBE-GGA) results for a geometry-optimized CsHPdSe2 structure.

CIF file:
```
data_CsHPdSe2
_chemical_formula_sum 'Cs2 H2 Pd2 Se4'
_cell_length_a 6.3057
_cell_length_b 6.4625
_cell_length_c 7.1278
_cell_angle_alpha 116.96
_cell_angle_beta 90.00
_cell_angle_gamma 90.00
_symmetry_space_group_name_H-M 'P 1'
_symmetry_Int_Tables_number 1
loop_
_symmetry_equiv_pos_as_xyz
'x,y,z'
loop_
_atom_site_label
_atom_site_fract_x
_atom_site_fract_y
_atom_site_fract_z
Cs1 0.2522 0.7500 0.5000
Cs2 0.7478 0.2500 0.5000
Se1 0.2381 0.4231 0.8462
Se2 0.7619 0.9231 0.8462
Se3 0.2381 0.0769 0.1538
Se4 0.7619 0.5769 0.1538
Pd1 0.5000 0.7500 0.0000
Pd2 0.5000 0.2500 0.0000
H1 0.0000 0.5000 0.0000
H2 0.0000 0.0000 0.0000
```

M_tot: 0.000 μB per formula unit
E_tot: -18.47 eV per formula unit